No. 1
Compound: SmSeBr
Source: Alexandria via LeMat-Bulk
Functional: PBE
Structure: relaxed

```
SmSeBr
1.0
-2.180 0.646 5.234
-6.451 18.082 -4.918
-3.697 -1.681 -1.333
Sm Se Br
4 4 4
direct
0.250 0.838 0.989 Sm
0.750 0.162 0.011 Sm
0.750 0.662 0.489 Sm
0.250 0.338 0.511 Sm
0.750 0.080 0.511 Se
0.250 0.920 0.489 Se
0.250 0.420 0.011 Se
0.750 0.580 0.989 Se
0.750 0.287 0.511 Br
0.250 0.713 0.489 Br
0.250 0.213 0.011 Br
0.750 0.787 0.989 Br
```

Properties
symmetry: Pnma, No. 62
uncorrected energy: -14.566 eV per formula unit
D(E_F): 0.00 states/eV per cell

=====

No. 2
Compound: SmSeBr
Source: Alexandria via LeMat-Bulk
Functional: PBE
Structure: relaxed

```
SmSeBr
1.0
4.991 0.000 0.000
2.495 4.322 0.000
2.495 1.441 4.075
Br Se Sm
1 1 1
direct
0.500 0.500 0.500 Br
0.000 0.000 0.000 Se
0.250 0.250 0.250 Sm
```

Properties
symmetry: F-43m, No. 216
uncorrected energy: -15.077 eV per formula unit
D(E_F): 0.00 states/eV per cell

=====

No. 3
Compound: SmSeBr
Source: Alexandria via LeMat-Bulk
Functional: PBE
Structure: relaxed

```
SmSeBr
1.0
5.813 0.000 0.000
0.000 8.622 0.000
0.000 0.000 8.622
Se Sm Br
4 4 4
direct
0.000 0.270 0.500 Se
0.500 0.500 0.270 Se
0.000 0.730 0.500 Se
0.500 0.500 0.730 Se
0.000 0.500 0.247 Sm
0.500 0.753 0.500 Sm
0.000 0.500 0.753 Sm
0.500 0.247 0.500 Sm
0.500 0.000 0.727 Br
0.000 0.727 0.000 Br
0.000 0.273 0.000 Br
0.500 0.000 0.273 Br
```

Properties
symmetry: P4_2/mmc, No. 131
uncorrected energy: -15.499 eV per formula unit
D(E_F): 0.00 states/eV per cell

=====

No. 4
Compound: Sm2Se2Br
Source: Alexandria via LeMat-Bulk
Functional: PBE
Structure: relaxed

```
Sm2Se2Br
1.0
-0.933 -4.219 -3.026
-0.144 -6.587 4.631
-7.158 0.467 1.553
Sm Br Se
4 2 4
direct
0.792 0.319 0.986 Sm
0.889 0.319 0.486 Sm
0.111 0.681 0.514 Sm
0.208 0.681 0.014 Sm
0.917 0.000 0.750 Br
0.083 0.000 0.250 Br
0.742 0.633 0.191 Se
0.376 0.367 0.309 Se
0.624 0.633 0.691 Se
0.258 0.367 0.809 Se
```

Properties
energy above the most stable polymorph in this dataset: 0.1156 eV/atom
symmetry: C2/c, No. 15
D(E_F): 4.33 states/eV per cell

=====

No. 5
Compound: Sn4Se4Br
Source: Alexandria via LeMat-Bulk
Functional: PBE
Structure: relaxed

```
Sn4Se4Br
1.0
5.410 0.000 2.379
2.705 6.779 1.189
-0.024 0.000 7.395
Se Sn Br
4 4 1
direct
0.401 0.408 0.789 Se
0.810 0.789 0.592 Se
0.190 0.211 0.408 Se
0.599 0.592 0.211 Se
0.093 0.593 0.221 Sn
0.907 0.407 0.779 Sn
0.314 0.779 0.593 Sn
0.686 0.221 0.407 Sn
0.000 0.000 0.000 Br
```

Properties
symmetry: I4/m, No. 87
uncorrected energy: -35.739 eV per formula unit
D(E_F): 4.74 states/eV per cell

=====

No. 6
Compound: Sn2SeBr
Source: Alexandria via LeMat-Bulk
Functional: PBE
Structure: relaxed

```
Sn2SeBr
1.0
-3.636 -2.852 2.570
-1.546 1.438 4.848
-4.851 1.963 0.754
Sn Br Se
2 1 1
direct
0.750 0.750 0.750 Sn
0.250 0.250 0.250 Sn
0.500 0.500 0.500 Br
0.000 0.000 0.000 Se
```

Properties
energy above the most stable polymorph in this dataset: 0.1212 eV/atom
symmetry: Fm-3m, No. 225
D(E_F): 1.48 states/eV per cell

=====

No. 7
Compound: Sn4Se2Br5
Source: Alexandria via LeMat-Bulk
Functional: PBE
Structure: relaxed

```
Sn4Se2Br5
1.0
4.906 0.000 0.000
0.000 12.127 0.000
-2.453 -6.063 6.878
Br Sn Se
5 4 2
direct
0.147 0.806 0.295 Br
0.500 0.000 0.000 Br
0.853 0.512 0.705 Br
0.853 0.194 0.705 Br
0.147 0.488 0.295 Br
0.356 0.356 0.713 Sn
0.000 0.157 0.000 Sn
0.644 0.644 0.287 Sn
0.000 0.843 0.000 Sn
0.836 0.836 0.672 Se
0.164 0.164 0.328 Se
```

Properties
energy above the most stable polymorph in this dataset: 0.2012 eV/atom
symmetry: Immm, No. 71
D(E_F): 5.62 states/eV per cell

=====

No. 8
Compound: Sn2Se2Br
Source: Alexandria via LeMat-Bulk
Functional: PBE
Structure: relaxed

```
Sn2Se2Br
1.0
8.288 0.000 0.000
0.000 8.288 0.000
0.000 0.000 3.870
Sn Se Br
4 4 2
direct
0.189 0.311 0.000 Sn
0.811 0.689 0.000 Sn
0.311 0.811 0.000 Sn
0.689 0.189 0.000 Sn
0.135 0.635 0.500 Se
0.865 0.365 0.500 Se
0.635 0.865 0.500 Se
0.365 0.135 0.500 Se
0.000 0.000 0.000 Br
0.500 0.500 0.000 Br
```

Properties
energy above the most stable polymorph in this dataset: 0.1028 eV/atom
symmetry: P4/mbm, No. 127
D(E_F): 3.40 states/eV per cell

=====

No. 9
Compound: Sn2Se2Br
Source: Alexandria via LeMat-Bulk
Functional: PBE
Structure: relaxed

```
Sn2Se2Br
1.0
-2.253 -8.150 -0.453
0.401 -0.580 8.439
-3.541 0.966 0.235
Br Se Sn
2 4 4
direct
0.000 0.000 0.000 Br
0.500 0.500 0.000 Br
0.368 0.868 0.000 Se
0.632 0.132 0.000 Se
0.868 0.632 0.000 Se
0.132 0.368 0.000 Se
0.155 0.655 0.500 Sn
0.345 0.155 0.500 Sn
0.845 0.345 0.500 Sn
0.655 0.845 0.500 Sn
```

Properties
energy above the most stable polymorph in this dataset: 0.2831 eV/atom
symmetry: P4/mbm, No. 127
D(E_F): 5.27 states/eV per cell

=====

No. 10
Compound: Sn2SeBr
Source: Alexandria via LeMat-Bulk
Functional: PBE
Structure: relaxed

```
Sn2SeBr
1.0
3.924 0.000 0.000
1.962 3.398 0.000
1.962 1.133 8.656
Sn Se Br
2 1 1
direct
0.258 0.258 0.225 Sn
0.075 0.075 0.774 Sn
0.669 0.669 0.994 Se
0.497 0.497 0.508 Br
```

Properties
energy above the most stable polymorph in this dataset: 0.0088 eV/atom
symmetry: R3m, No. 160
D(E_F): 1.58 states/eV per cell

=====

No. 11
Compound: Sn2SeBr2
Source: Alexandria via LeMat-Bulk
Functional: PBE
Structure: relaxed

```
Sn2SeBr2
1.0
-2.957 -0.008 -3.155
-2.215 -3.609 -0.878
-9.081 1.635 5.543
Br Se Sn
2 1 2
direct
0.223 0.223 0.330 Br
0.777 0.777 0.670 Br
0.000 0.000 0.000 Se
0.389 0.389 0.833 Sn
0.611 0.611 0.167 Sn
```

Properties
energy above the most stable polymorph in this dataset: 0.0000 eV/atom
symmetry: R-3m, No. 166

=====

No. 12
Compound: SnSe2Br
Source: Alexandria via LeMat-Bulk
Functional: PBE
Structure: relaxed

```
SnSe2Br
1.0
1.784 0.000 12.730
-0.892 1.545 12.730
-0.892 -1.545 12.730
Sn Br Se
1 1 2
direct
0.000 0.000 0.000 Sn
0.500 0.500 0.500 Br
0.072 0.072 0.072 Se
0.928 0.928 0.928 Se
```

Properties
energy above the most stable polymorph in this dataset: 0.4688 eV/atom
symmetry: R-3m, No. 166
D(E_F): 4.21 states/eV per cell

=====

Copy entry 10 word for word.
Compound: Sn2SeBr
Source: Alexandria via LeMat-Bulk
Functional: PBE
Structure: relaxed

```
Sn2SeBr
1.0
3.924 0.000 0.000
1.962 3.398 0.000
1.962 1.133 8.656
Sn Se Br
2 1 1
direct
0.258 0.258 0.225 Sn
0.075 0.075 0.774 Sn
0.669 0.669 0.994 Se
0.497 0.497 0.508 Br
```

Properties
energy above the most stable polymorph in this dataset: 0.0088 eV/atom
symmetry: R3m, No. 160
D(E_F): 1.58 states/eV per cell